# CeDyBr6 (PBE-GGA, optimized geometry)
# Relative energy among the computed polymorphs = 0.0133 eV per atom
# V = 881.7 Å³/cell
# Uncorrected formation energy = -1.796 eV/atom
# M_tot = 3.00 Bohr magnetons per cell
data_CeDyBr6
_cell_length_a 7.1871
_cell_length_b 7.1871
_cell_length_c 19.7094
_cell_angle_alpha 90.00
_cell_angle_beta 90.00
_cell_angle_gamma 120.00
_symmetry_space_group_name_H-M 'R -3'
_symmetry_Int_Tables_number 148
_symmetry_space_group_name_Hall '-R 3'
loop_
_atom_site_label
_atom_site_fract_x
_atom_site_fract_y
_atom_site_fract_z
Ce1 0.0000 0.0000 0.0000
Dy1 0.0000 0.0000 0.5000
Br1 0.0064 0.6818 0.5816


# Ac4PmPr3S8 (PBE-GGA, optimized geometry)
# V = 1254.3 Å³/cell
# Uncorrected formation energy = -2.009 eV/atom
# M_tot = 0.00 Bohr magnetons per cell
data_Ac4PmPr3S8
_cell_length_a 8.3901
_cell_length_b 8.3901
_cell_length_c 20.5752
_cell_angle_alpha 90.00
_cell_angle_beta 90.00
_cell_angle_gamma 120.00
_symmetry_space_group_name_H-M 'R -3 m'
_symmetry_Int_Tables_number 166
_symmetry_space_group_name_Hall '-R 3 2"'
loop_
_atom_site_label
_atom_site_fract_x
_atom_site_fract_y
_atom_site_fract_z
Ac1 0.0000 0.0000 0.0000
Ac2 0.0000 0.5000 0.0000
Pm1 0.0000 0.0000 0.5000
Pr1 0.0000 0.5000 0.5000
S1 0.0000 0.0000 0.2461
S2 0.0032 0.5016 0.2453